w.
Below is BAsN2F after structural relaxation, with properties calculated at the GGA-PBE level.

- V (Å³/atom) = 8.39
- space-group type = P4/mmm, No. 123

Cell: 3.4949 3.4949 3.4339 Å, 90.00 90.00 90.00°
Positions (direct):
As  0.5000  0.5000  0.5000
N  0.0000  0.5000  0.0000
N  0.5000  0.0000  0.0000
B  0.0000  0.0000  0.0000
F  0.0000  0.0000  0.5000



x.
Below is BAsN2F after structural relaxation, with properties calculated at the GGA-PBE level.

- V (Å³/atom) = 11.08
- space-group type = P4/mmm, No. 123

Cell: 3.7190 3.7190 4.0044 Å, 90.00 90.00 90.00°
Site moments in Bohr magnetons follow the coordinates.
Positions (direct):
As  0.0000  0.0000  0.0000  -0.01
N  0.0000  0.5000  0.0000  0.21
N  0.5000  0.0000  0.0000  0.21
B  0.5000  0.5000  0.5000  0.00
F  0.0000  0.0000  0.5000  -0.01



Tell me which of them is the most stable. Sure, it is w.



w.
Below is BAsOF2 after structural relaxation, with properties calculated at the GGA-PBE level.

- V (Å³/atom) = 14.11
- space-group type = P4/mmm, No. 123

Cell: 4.2430 4.2430 3.9193 Å, 90.00 90.00 90.00°
Positions (direct):
As  0.0000  0.0000  0.0000
B  0.5000  0.5000  0.5000
O  0.0000  0.0000  0.5000
F  0.0000  0.5000  0.0000
F  0.5000  0.0000  0.0000



x.
Below is BAsOF2 after structural relaxation, with properties calculated at the GGA-PBE level.

- V (Å³/atom) = 11.25
- space-group type = P4/mmm, No. 123

Cell: 4.6496 4.6496 2.6024 Å, 90.00 90.00 90.00°
Positions (direct):
As  0.5000  0.5000  0.5000
B  0.0000  0.0000  0.0000
O  0.0000  0.0000  0.5000
F  0.0000  0.5000  0.0000
F  0.5000  0.0000  0.0000



Tell me which of them is the most stable. Sure, it is x.



w.
Below is Fe3BAs after structural relaxation, with properties calculated at the GGA-PBE level.

- V (Å³/atom) = 11.74
- space-group type = Pm-3m, No. 221

Cell: 3.8859 3.8859 3.8859 Å, 90.00 90.00 90.00°
Site moments in Bohr magnetons follow the coordinates.
Positions (direct):
As  0.5000  0.5000  0.5000  0.00
B  0.0000  0.0000  0.0000  -0.18
Fe  0.0000  0.5000  0.0000  2.12
Fe  0.0000  0.0000  0.5000  2.05
Fe  0.5000  0.0000  0.0000  1.85



x.
Below is Fe3BAs after structural relaxation, with properties calculated at the GGA-PBE level.

- V (Å³/atom) = 16.60
- space-group type = Pm-3m, No. 221

Cell: 4.3618 4.3618 4.3618 Å, 90.00 90.00 90.00°
Site moments in Bohr magnetons follow the coordinates.
Positions (direct):
As  0.0000  0.0000  0.0000  -0.07
B  0.5000  0.5000  0.5000  -0.01
Fe  0.0000  0.5000  0.0000  2.42
Fe  0.0000  0.0000  0.5000  2.50
Fe  0.5000  0.0000  0.0000  2.58



Tell me which of them is the most stable. Sure, it is w.



w.
Below is Fe2BAs after structural relaxation, with properties calculated at the GGA-PBE level.

- V (Å³/atom) = 14.11
- space-group type = I-42d, No. 122

Cell: 4.8542 4.8542 5.8931 Å, 65.68 65.68 90.00°
Site moments in Bohr magnetons follow the coordinates.
Positions (direct):
As  0.0000  0.0000  0.0000  -0.09
As  0.7500  0.2500  0.5000  -0.10
B  0.5000  0.5000  0.0000  -0.14
B  0.2500  0.7500  0.5000  -0.14
Fe  0.5510  0.1250  0.2500  1.37
Fe  0.1990  0.6250  0.2500  1.38
Fe  0.3750  0.4490  0.7500  1.32
Fe  0.8750  0.8010  0.7500  1.37



x.
Below is Fe2BAs after structural relaxation, with properties calculated at the GGA-PBE level.

- V (Å³/atom) = 10.04
- space-group type = Fm-3m, No. 225

Cell: 3.8436 3.8436 3.8436 Å, 60.00 60.00 60.00°
Positions (direct):
As  0.5000  0.5000  0.5000
B  0.0000  0.0000  0.0000
Fe  0.2500  0.2500  0.2500
Fe  0.7500  0.7500  0.7500



Tell me which of them is the most stable. Sure, it is x.